Compound: Mg2NbCuBi
Source: Alexandria via LeMat-Bulk
Functional: PBE
Structure: optimized geometry

```
data_Mg2NbCuBi
_cell_length_a 4.757
_cell_length_b 4.757
_cell_length_c 5.251
_cell_angle_alpha 90.00
_cell_angle_beta 90.00
_cell_angle_gamma 90.00
_space_group_name_H-M_alt 'P 1'
_space_group_IT_number 1
loop_
_space_group_symop_operation_xyz
'x,y,z'
loop_
_atom_site_label
_atom_site_type_symbol
_atom_site_fract_x
_atom_site_fract_y
_atom_site_fract_z
Mg1 Mg 0.000 0.500 0.000
Mg2 Mg 0.500 0.000 0.000
Nb1 Nb 0.500 0.500 0.500
Bi1 Bi 0.000 0.000 0.500
Cu1 Cu 0.000 0.000 0.000
```

Results
V: 118.81 Å³/f.u.
ΔH_f (0 K): 0.701 eV/atom
DOS at the Fermi energy: 3.76 states/eV/cell



Compound: MgCu3Bi4O12
Source: Alexandria via LeMat-Bulk
Functional: PBE
Structure: optimized geometry

```
data_MgCu3Bi4O12
_cell_length_a 7.086
_cell_length_b 7.086
_cell_length_c 7.086
_cell_angle_alpha 109.47
_cell_angle_beta 109.47
_cell_angle_gamma 109.47
_space_group_name_H-M_alt 'P 1'
_space_group_IT_number 1
loop_
_space_group_symop_operation_xyz
'x,y,z'
loop_
_atom_site_label
_atom_site_type_symbol
_atom_site_fract_x
_atom_site_fract_y
_atom_site_fract_z
Mg1 Mg 0.000 0.000 0.000
Cu1 Cu 0.000 0.500 0.500
Cu2 Cu 0.500 0.000 0.500
Cu3 Cu 0.500 0.500 0.000
Bi1 Bi 0.500 0.000 0.000
Bi2 Bi 0.000 0.000 0.500
Bi3 Bi 0.500 0.500 0.500
Bi4 Bi 0.000 0.500 0.000
O1 O 0.166 0.846 0.320
O2 O 0.834 0.154 0.680
O3 O 0.526 0.846 0.680
O4 O 0.154 0.320 0.474
O5 O 0.320 0.474 0.154
O6 O 0.320 0.166 0.846
O7 O 0.154 0.680 0.834
O8 O 0.680 0.526 0.846
O9 O 0.474 0.154 0.320
O10 O 0.846 0.680 0.526
O11 O 0.680 0.834 0.154
O12 O 0.846 0.320 0.166
```

Results
V: 273.84 Å³/f.u.
DOS at the Fermi energy: 8.17 states/eV/cell
energy relative to the elements, uncorrected: -86.8 kJ per mole of atoms



Compound: MgCuBiO4
Source: Alexandria via LeMat-Bulk
Functional: PBE
Structure: optimized geometry

```
data_MgCuBiO4
_cell_length_a 5.898
_cell_length_b 6.534
_cell_length_c 6.914
_cell_angle_alpha 121.94
_cell_angle_beta 90.00
_cell_angle_gamma 116.83
_space_group_name_H-M_alt 'P 1'
_space_group_IT_number 1
loop_
_space_group_symop_operation_xyz
'x,y,z'
loop_
_atom_site_label
_atom_site_type_symbol
_atom_site_fract_x
_atom_site_fract_y
_atom_site_fract_z
Mg1 Mg 0.789 0.577 0.039
Mg2 Mg 0.211 0.423 0.961
Cu1 Cu 0.500 0.500 0.500
Cu2 Cu 0.000 0.500 0.500
Bi1 Bi 0.500 0.000 0.500
Bi2 Bi 0.500 0.000 0.000
O1 O 0.741 0.483 0.672
O2 O 0.189 0.828 0.164
O3 O 0.639 0.828 0.164
O4 O 0.741 0.483 0.311
O5 O 0.259 0.517 0.689
O6 O 0.811 0.172 0.836
O7 O 0.361 0.172 0.836
O8 O 0.259 0.517 0.328
```

Results
V: 95.73 Å³/f.u.
DOS at the Fermi energy: 5.70 states/eV/cell
energy relative to the elements, uncorrected: -120.1 kJ per mole of atoms



Compound: MgCu2BiOs
Source: Alexandria via LeMat-Bulk
Functional: PBE
Structure: optimized geometry

```
data_MgCu2BiOs
_cell_length_a 4.512
_cell_length_b 4.512
_cell_length_c 4.807
_cell_angle_alpha 90.00
_cell_angle_beta 90.00
_cell_angle_gamma 90.00
_space_group_name_H-M_alt 'P 1'
_space_group_IT_number 1
loop_
_space_group_symop_operation_xyz
'x,y,z'
loop_
_atom_site_label
_atom_site_type_symbol
_atom_site_fract_x
_atom_site_fract_y
_atom_site_fract_z
Mg1 Mg 0.000 0.000 0.000
Os1 Os 0.000 0.000 0.500
Bi1 Bi 0.500 0.500 0.500
Cu1 Cu 0.000 0.500 0.000
Cu2 Cu 0.500 0.000 0.000
```

Results
V: 97.85 Å³/f.u.
ΔH_f (0 K): 1.201 eV/atom
DOS at the Fermi energy: 4.33 states/eV/cell



Compound: MgCuBi2Pb
Source: Alexandria via LeMat-Bulk
Functional: PBE
Structure: optimized geometry

```
data_MgCuBi2Pb
_cell_length_a 5.993
_cell_length_b 5.260
_cell_length_c 5.993
_cell_angle_alpha 90.00
_cell_angle_beta 90.00
_cell_angle_gamma 90.00
_space_group_name_H-M_alt 'P 1'
_space_group_IT_number 1
loop_
_space_group_symop_operation_xyz
'x,y,z'
loop_
_atom_site_label
_atom_site_type_symbol
_atom_site_fract_x
_atom_site_fract_y
_atom_site_fract_z
Pb1 Pb 0.000 0.000 0.000
Mg1 Mg 0.000 0.500 0.000
Bi1 Bi 0.000 0.000 0.500
Bi2 Bi 0.500 0.000 0.000
Cu1 Cu 0.500 0.500 0.500
```

Results
V: 188.93 Å³/f.u.
ΔH_f (0 K): 0.983 eV/atom
DOS at the Fermi energy: 5.23 states/eV/cell



Compound: PuMgCuBi
Source: Alexandria via LeMat-Bulk
Functional: PBE
Structure: optimized geometry

```
data_PuMgCuBi
_cell_length_a 5.115
_cell_length_b 5.115
_cell_length_c 5.115
_cell_angle_alpha 60.00
_cell_angle_beta 60.00
_cell_angle_gamma 60.00
_space_group_name_H-M_alt 'P 1'
_space_group_IT_number 1
loop_
_space_group_symop_operation_xyz
'x,y,z'
loop_
_atom_site_label
_atom_site_type_symbol
_atom_site_fract_x
_atom_site_fract_y
_atom_site_fract_z
Mg1 Mg 0.500 0.500 0.500
Bi1 Bi 0.250 0.250 0.250
Cu1 Cu 0.750 0.750 0.750
Pu1 Pu 0.000 0.000 0.000
```

Results
V: 94.65 Å³/f.u.
ΔH_f (0 K): -0.045 eV/atom
DOS at the Fermi energy: 11.11 states/eV/cell



Compound: MgCuBiS3
Source: Alexandria via LeMat-Bulk
Functional: PBE
Structure: optimized geometry

```
data_MgCuBiS3
_cell_length_a 3.871
_cell_length_b 7.834
_cell_length_c 8.277
_cell_angle_alpha 104.06
_cell_angle_beta 90.00
_cell_angle_gamma 90.00
_space_group_name_H-M_alt 'P 1'
_space_group_IT_number 1
loop_
_space_group_symop_operation_xyz
'x,y,z'
loop_
_atom_site_label
_atom_site_type_symbol
_atom_site_fract_x
_atom_site_fract_y
_atom_site_fract_z
Mg1 Mg 0.250 0.665 0.168
Mg2 Mg 0.750 0.335 0.832
Cu1 Cu 0.250 0.090 0.569
Cu2 Cu 0.750 0.910 0.431
Bi1 Bi 0.250 0.189 0.217
Bi2 Bi 0.750 0.811 0.783
S1 S 0.750 0.902 0.137
S2 S 0.250 0.098 0.863
S3 S 0.250 0.765 0.483
S4 S 0.750 0.235 0.517
S5 S 0.750 0.426 0.147
S6 S 0.250 0.574 0.853
```

Results
V: 121.75 Å³/f.u.
energy relative to the elements, uncorrected: -58.1 kJ per mole of atoms



Compound: Mg2CuBiSb
Source: Alexandria via LeMat-Bulk
Functional: PBE
Structure: optimized geometry

```
data_Mg2CuBiSb
_cell_length_a 4.959
_cell_length_b 5.247
_cell_length_c 4.959
_cell_angle_alpha 90.00
_cell_angle_beta 90.00
_cell_angle_gamma 90.00
_space_group_name_H-M_alt 'P 1'
_space_group_IT_number 1
loop_
_space_group_symop_operation_xyz
'x,y,z'
loop_
_atom_site_label
_atom_site_type_symbol
_atom_site_fract_x
_atom_site_fract_y
_atom_site_fract_z
Sb1 Sb 0.500 0.500 0.500
Mg1 Mg 0.000 0.000 0.500
Mg2 Mg 0.500 0.000 0.000
Bi1 Bi 0.000 0.500 0.000
Cu1 Cu 0.000 0.000 0.000
```

Results
V: 129.06 Å³/f.u.
DOS at the Fermi energy: 3.57 states/eV/cell
energy relative to the elements, uncorrected: 16.4 kJ per mole of atoms



We obtain magnetic moment values of 3.0, 0.0, 1.3, 0.0, 0.0, 6.0, 0.0, 0.0 μB/cell for the records listed above, in that order.